No. 1
Entry from Alexandria via LeMat-Bulk: a geometry-optimized CaAlInRe2 structure (PBE-GGA).

Formation energy from the elements (meV/atom): 1796

a b c (Å): 5.0510 5.0510 4.8323
angles (deg): 90.00 90.00 90.00
With the nearest neighbours (Å) after each atom.
Sites, in units of the cell vectors:
Ca  0.0000  0.0000  0.0000  8 Re 3.50, 4 Al 3.57
Al  0.5000  0.5000  0.0000  2 In 2.42
In  0.5000  0.5000  0.5000  2 Al 2.42, 4 Re 2.53
Re  0.0000  0.5000  0.5000  2 In 2.53
Re  0.5000  0.0000  0.5000  2 In 2.53



No. 2
Entry from Alexandria via LeMat-Bulk: a geometry-optimized CaAlInSi2 structure (PBE-GGA).

Energy relative to the elements, uncorrected (eV/atom): 1.221

a b c (Å): 5.3520 5.3520 5.7896
angles (deg): 90.00 90.00 90.00
With the nearest neighbours (Å) after each atom.
Sites, in units of the cell vectors:
Ca  0.0000  0.0000  0.0000  4 Si 2.68, 2 In 2.89
Al  0.5000  0.5000  0.5000  4 In 3.78, 8 Si 3.94
In  0.0000  0.0000  0.5000  2 Ca 2.89
Si  0.0000  0.5000  0.0000  2 Ca 2.68
Si  0.5000  0.0000  0.0000  2 Ca 2.68



No. 3
Entry from Alexandria via LeMat-Bulk: a geometry-optimized SrCaAlIn2 structure (PBE-GGA).

Formation energy from the elements (meV/atom): 105

a b c (Å): 5.3958 5.3958 5.7948
angles (deg): 90.00 90.00 90.00
With the nearest neighbours (Å) after each atom.
Sites, in units of the cell vectors:
Sr  0.0000  0.0000  0.0000  2 Al 2.90
Ca  0.5000  0.5000  0.0000  4 Sr 3.82, 8 In 3.96
Al  0.0000  0.0000  0.5000  4 In 2.70, 2 Sr 2.90
In  0.0000  0.5000  0.5000  2 Al 2.70
In  0.5000  0.0000  0.5000  2 Al 2.70



No. 4
Entry from Alexandria via LeMat-Bulk: a geometry-optimized SrCaAlIn structure (PBE-GGA).

Formation energy from the elements (meV/atom): -278

a b c (Å): 7.7984 7.7984 7.7984
angles (deg): 90.00 90.00 90.00
With the nearest neighbours (Å) after each atom.
Sites, in units of the cell vectors:
Sr  0.0000  0.0000  0.0000  4 In 3.38, 4 Al 3.38
Sr  0.0000  0.5000  0.5000  4 Al 3.38, 4 In 3.38
Sr  0.5000  0.0000  0.5000  4 Al 3.38, 4 In 3.38
Sr  0.5000  0.5000  0.0000  4 Al 3.38, 4 In 3.38
Ca  0.0000  0.0000  0.5000  4 In 3.38, 4 Al 3.38
Ca  0.0000  0.5000  0.0000  4 In 3.38, 4 Al 3.38
Ca  0.5000  0.0000  0.0000  4 In 3.38, 4 Al 3.38
Ca  0.5000  0.5000  0.5000  4 In 3.38, 4 Al 3.38
Al  0.2500  0.2500  0.7500  4 Ca 3.38, 4 Sr 3.38
Al  0.2500  0.7500  0.2500  4 Ca 3.38, 4 Sr 3.38
Al  0.7500  0.2500  0.2500  4 Ca 3.38, 4 Sr 3.38
Al  0.7500  0.7500  0.7500  4 Ca 3.38, 4 Sr 3.38
In  0.2500  0.2500  0.2500  4 Ca 3.38, 4 Sr 3.38
In  0.2500  0.7500  0.7500  4 Ca 3.38, 4 Sr 3.38
In  0.7500  0.2500  0.7500  4 Ca 3.38, 4 Sr 3.38
In  0.7500  0.7500  0.2500  4 Ca 3.38, 4 Sr 3.38



No. 5
Entry from Alexandria via LeMat-Bulk: a geometry-optimized Ca2TaAlIn structure (PBE-GGA).

Formation energy from the elements (meV/atom): 997

a b c (Å): 5.6307 5.6307 5.2690
angles (deg): 90.00 90.00 90.00
With the nearest neighbours (Å) after each atom.
Sites, in units of the cell vectors:
Ca  0.0000  0.5000  0.0000  2 In 2.82
Ca  0.5000  0.0000  0.0000  2 In 2.82
Ta  0.0000  0.0000  0.5000  2 In 2.63
Al  0.5000  0.5000  0.5000  8 Ca 3.86, 4 Ta 3.98
In  0.0000  0.0000  0.0000  2 Ta 2.63, 4 Ca 2.82



No. 6
Entry from Alexandria via LeMat-Bulk: a geometry-optimized CaTbAlIn structure (PBE-GGA).

Formation energy from the elements (meV/atom): -346

a b c (Å): 7.4794 7.4794 7.4794
angles (deg): 90.00 90.00 90.00
With the nearest neighbours (Å) after each atom.
Sites, in units of the cell vectors:
Ca  0.0000  0.0000  0.0000  4 In 3.24, 4 Al 3.24
Ca  0.0000  0.5000  0.5000  4 In 3.24, 4 Al 3.24
Ca  0.5000  0.0000  0.5000  4 In 3.24, 4 Al 3.24
Ca  0.5000  0.5000  0.0000  4 In 3.24, 4 Al 3.24
Tb  0.0000  0.0000  0.5000  4 In 3.24, 4 Al 3.24
Tb  0.0000  0.5000  0.0000  4 In 3.24, 4 Al 3.24
Tb  0.5000  0.0000  0.0000  4 In 3.24, 4 Al 3.24
Tb  0.5000  0.5000  0.5000  4 In 3.24, 4 Al 3.24
Al  0.2500  0.2500  0.2500  4 Tb 3.24, 4 Ca 3.24
Al  0.2500  0.7500  0.7500  4 Tb 3.24, 4 Ca 3.24
Al  0.7500  0.2500  0.7500  4 Tb 3.24, 4 Ca 3.24
Al  0.7500  0.7500  0.2500  4 Tb 3.24, 4 Ca 3.24
In  0.2500  0.2500  0.7500  4 Tb 3.24, 4 Ca 3.24
In  0.2500  0.7500  0.2500  4 Tb 3.24, 4 Ca 3.24
In  0.7500  0.2500  0.2500  4 Tb 3.24, 4 Ca 3.24
In  0.7500  0.7500  0.7500  4 Tb 3.24, 4 Ca 3.24



No. 7
Entry from Alexandria via LeMat-Bulk: a geometry-optimized CaAlIn2Te structure (PBE-GGA).

Energy relative to the elements, uncorrected (eV/atom): 0.373

a b c (Å): 5.9198 5.9198 5.7075
angles (deg): 90.00 90.00 90.00
With the nearest neighbours (Å) after each atom.
Sites, in units of the cell vectors:
Ca  0.0000  0.0000  0.0000  2 Te 2.85
Al  0.5000  0.5000  0.0000  8 In 4.11, 4 Ca 4.19
In  0.0000  0.5000  0.5000  2 Te 2.96
In  0.5000  0.0000  0.5000  2 Te 2.96
Te  0.0000  0.0000  0.5000  2 Ca 2.85, 4 In 2.96



No. 8
Entry from Alexandria via LeMat-Bulk: a geometry-optimized CaAlTlIn structure (PBE-GGA).

Formation energy from the elements (meV/atom): -90

a b c (Å): 7.4527 7.4527 7.4527
angles (deg): 90.00 90.00 90.00
With the nearest neighbours (Å) after each atom.
Sites, in units of the cell vectors:
Ca  0.0000  0.0000  0.0000  4 Tl 3.23, 4 In 3.23
Ca  0.0000  0.5000  0.5000  4 Tl 3.23, 4 In 3.23
Ca  0.5000  0.0000  0.5000  4 Tl 3.23, 4 In 3.23
Ca  0.5000  0.5000  0.0000  4 Tl 3.23, 4 In 3.23
Al  0.0000  0.0000  0.5000  4 Tl 3.23, 4 In 3.23
Al  0.0000  0.5000  0.0000  4 Tl 3.23, 4 In 3.23
Al  0.5000  0.0000  0.0000  4 Tl 3.23, 4 In 3.23
Al  0.5000  0.5000  0.5000  4 Tl 3.23, 4 In 3.23
Tl  0.2500  0.2500  0.2500  4 Ca 3.23, 4 Al 3.23
Tl  0.2500  0.7500  0.7500  4 Ca 3.23, 4 Al 3.23
Tl  0.7500  0.2500  0.7500  4 Ca 3.23, 4 Al 3.23
Tl  0.7500  0.7500  0.2500  4 Ca 3.23, 4 Al 3.23
In  0.2500  0.2500  0.7500  4 Ca 3.23, 4 Al 3.23
In  0.2500  0.7500  0.2500  4 Ca 3.23, 4 Al 3.23
In  0.7500  0.2500  0.2500  4 Ca 3.23, 4 Al 3.23
In  0.7500  0.7500  0.7500  4 Al 3.23, 4 Ca 3.23



No. 9
Entry from Alexandria via LeMat-Bulk: a geometry-optimized CaTmAlIn structure (PBE-GGA).

Formation energy from the elements (meV/atom): -326

a b c (Å): 7.4163 7.4163 7.4163
angles (deg): 90.00 90.00 90.00
With the nearest neighbours (Å) after each atom.
Sites, in units of the cell vectors:
Ca  0.0000  0.0000  0.0000  4 In 3.21, 4 Al 3.21
Ca  0.0000  0.5000  0.5000  4 In 3.21, 4 Al 3.21
Ca  0.5000  0.0000  0.5000  4 In 3.21, 4 Al 3.21
Ca  0.5000  0.5000  0.0000  4 In 3.21, 4 Al 3.21
Tm  0.0000  0.0000  0.5000  4 In 3.21, 4 Al 3.21
Tm  0.0000  0.5000  0.0000  4 In 3.21, 4 Al 3.21
Tm  0.5000  0.0000  0.0000  4 In 3.21, 4 Al 3.21
Tm  0.5000  0.5000  0.5000  4 In 3.21, 4 Al 3.21
Al  0.2500  0.2500  0.7500  4 Ca 3.21, 4 Tm 3.21
Al  0.2500  0.7500  0.2500  4 Ca 3.21, 4 Tm 3.21
Al  0.7500  0.2500  0.2500  4 Ca 3.21, 4 Tm 3.21
Al  0.7500  0.7500  0.7500  4 Ca 3.21, 4 Tm 3.21
In  0.2500  0.2500  0.2500  4 Ca 3.21, 4 Tm 3.21
In  0.2500  0.7500  0.7500  4 Ca 3.21, 4 Tm 3.21
In  0.7500  0.2500  0.7500  4 Ca 3.21, 4 Tm 3.21
In  0.7500  0.7500  0.2500  4 Ca 3.21, 4 Tm 3.21



No. 10
Entry from Alexandria via LeMat-Bulk: a geometry-optimized CaYAlIn structure (PBE-GGA).

Formation energy from the elements (meV/atom): -357

a b c (Å): 7.4697 7.4697 7.4697
angles (deg): 90.00 90.00 90.00
With the nearest neighbours (Å) after each atom.
Sites, in units of the cell vectors:
Ca  0.0000  0.0000  0.0000  4 In 3.23, 4 Al 3.23
Ca  0.0000  0.5000  0.5000  4 In 3.23, 4 Al 3.23
Ca  0.5000  0.0000  0.5000  4 In 3.23, 4 Al 3.23
Ca  0.5000  0.5000  0.0000  4 In 3.23, 4 Al 3.23
Y  0.0000  0.0000  0.5000  4 Al 3.23, 4 In 3.23
Y  0.0000  0.5000  0.0000  4 Al 3.23, 4 In 3.23
Y  0.5000  0.0000  0.0000  4 Al 3.23, 4 In 3.23
Y  0.5000  0.5000  0.5000  4 Al 3.23, 4 In 3.23
Al  0.2500  0.2500  0.2500  4 Ca 3.23, 4 Y 3.23
Al  0.2500  0.7500  0.7500  4 Ca 3.23, 4 Y 3.23
Al  0.7500  0.2500  0.7500  4 Ca 3.23, 4 Y 3.23
Al  0.7500  0.7500  0.2500  4 Ca 3.23, 4 Y 3.23
In  0.2500  0.2500  0.7500  4 Ca 3.23, 4 Y 3.23
In  0.2500  0.7500  0.2500  4 Ca 3.23, 4 Y 3.23
In  0.7500  0.2500  0.2500  4 Ca 3.23, 4 Y 3.23
In  0.7500  0.7500  0.7500  4 Ca 3.23, 4 Y 3.23



No. 11
Entry from Alexandria via LeMat-Bulk: a geometry-optimized Ca2Al3Zn4In structure (PBE-GGA).

Formation energy from the elements (meV/atom): -231

a b c (Å): 4.2838 4.2838 11.2400
angles (deg): 90.00 90.00 90.00
With the nearest neighbours (Å) after each atom.
Sites, in units of the cell vectors:
Ca  0.0000  0.5000  0.2394  6 Al 3.27-3.63, 8 Zn 3.28-3.44, 2 In 3.63
Ca  0.5000  0.0000  0.7606  6 Al 3.27-3.63, 8 Zn 3.28-3.44, 2 In 3.63
Al  0.0000  0.5000  0.8709  5 Zn 2.49-2.59
Al  0.5000  0.0000  0.1291  5 Zn 2.49-2.59
Al  0.5000  0.5000  0.5000  4 Zn 2.72, 4 In 3.03
Zn  0.0000  0.0000  0.0000  4 Al 2.59
Zn  0.0000  0.5000  0.6490  3 Al 2.49-2.72, 2 In 2.72
Zn  0.5000  0.0000  0.3510  3 Al 2.49-2.72, 2 In 2.72
Zn  0.5000  0.5000  0.0000  4 Al 2.59
In  0.0000  0.0000  0.5000  4 Zn 2.72, 4 Al 3.03



No. 12
Entry from Alexandria via LeMat-Bulk: a geometry-optimized Ca2Al4Zn3In structure (PBE-GGA).

Formation energy from the elements (meV/atom): -234

a b c (Å): 4.2034 4.2034 11.6851
angles (deg): 90.00 90.00 90.00
With the nearest neighbours (Å) after each atom.
Sites, in units of the cell vectors:
Ca  0.0000  0.5000  0.2384  4 Zn 3.21, 8 Al 3.25-3.49
Ca  0.5000  0.0000  0.7616  4 Zn 3.21, 8 Al 3.25-3.49
Al  0.0000  0.0000  0.0000  4 Zn 2.63
Al  0.0000  0.5000  0.6499  3 Zn 2.51-2.74, 2 In 2.74
Al  0.5000  0.0000  0.3501  3 Zn 2.51-2.74, 2 In 2.74
Al  0.5000  0.5000  0.0000  4 Zn 2.63
Zn  0.0000  0.5000  0.8644  5 Al 2.51-2.63
Zn  0.5000  0.0000  0.1356  5 Al 2.51-2.63
Zn  0.5000  0.5000  0.5000  4 Al 2.74, 4 In 2.97
In  0.0000  0.0000  0.5000  4 Al 2.74, 4 Zn 2.97